[1]
Computed, not measured: Dy2Er7Tm after structural relaxation at the PBE level of DFT.

abc: 6.0606 7.0158 7.8289
angles: 77.16 74.94 73.27
Closest atoms and distances in Å follow each position.
Element x y z (fractional)
Dy 0.2002 0.2997 0.1004  10 Er 3.50-3.51, 1 Tm 3.50, 1 Dy 3.51
Dy 0.7998 0.7003 0.8996  10 Er 3.50-3.51, 1 Tm 3.50, 1 Dy 3.51
Er 0.0000 0.5000 0.5000  8 Er 3.50-3.51, 2 Dy 3.50, 2 Tm 3.51
Er 0.1999 0.8000 0.1003  7 Er 3.50-3.51, 4 Dy 3.50-3.51, 1 Tm 3.50
Er 0.4000 0.1001 0.6994  8 Er 3.49-3.51, 2 Tm 3.50, 2 Dy 3.50-3.51
Er 0.3998 0.6002 0.6996  8 Er 3.50-3.51, 3 Dy 3.50-3.51, 1 Tm 3.51
Er 0.6002 0.3998 0.3004  8 Er 3.50-3.51, 3 Dy 3.50-3.51, 1 Tm 3.51
Er 0.6000 0.8999 0.3006  8 Er 3.49-3.51, 2 Tm 3.50, 2 Dy 3.50-3.51
Er 0.8001 0.2000 0.8997  7 Er 3.50-3.51, 4 Dy 3.50-3.51, 1 Tm 3.50
Tm 0.0000 0.0000 0.5000  10 Er 3.50-3.51, 2 Dy 3.50

Calculated values
- Symmetry: No. 2
- N(E_F): 1.418 states/eV per atom
- DFT formation energy: 0.23 eV per formula unit
- Electronic total energy: -4.539 eV/atom



[2]
Computed, not measured: KAlIr3 after structural relaxation at the PBE level of DFT.

abc: 4.6415 4.6415 4.6415
angles: 90.00 90.00 90.00
Closest atoms and distances in Å follow each position.
Element x y z (fractional)
K 0.0000 0.0000 0.0000  12 Ir 3.28
Al 0.5000 0.5000 0.5000  6 Ir 2.32
Ir 0.0000 0.5000 0.5000  2 Al 2.32
Ir 0.5000 0.0000 0.5000  2 Al 2.32
Ir 0.5000 0.5000 0.0000  2 Al 2.32

Calculated values
- Symmetry: No. 221
- N(E_F): 1.248 states/eV per atom
- DFT formation energy: 5.08 eV per formula unit
- Electronic total energy: -5.269 eV/atom



[3]
Computed, not measured: Ba3NaHPd after structural relaxation at the PBE level of DFT.

abc: 10.4364 4.7044 10.7115
angles: 90.00 107.28 90.00
Closest atoms and distances in Å follow each position.
Element x y z (fractional)
Ba 0.0308 0.2500 0.3375  3 Pd 3.17-3.21
Ba 0.3226 0.2500 0.9463  3 H 2.67-2.68
Ba 0.3778 0.7500 0.6360  1 H 2.74
Ba 0.6222 0.2500 0.3640  1 H 2.74
Ba 0.6774 0.7500 0.0537  3 H 2.67-2.68
Ba 0.9692 0.7500 0.6625  3 Pd 3.17-3.21
Na 0.2881 0.7500 0.2322  7 Ba 3.96-4.15, 3 H 4.17-4.40
Na 0.7119 0.2500 0.7678  7 Ba 3.96-4.15, 3 H 4.17-4.40
H 0.4218 0.7500 0.9016  4 Ba 2.67-2.74
H 0.5782 0.2500 0.0984  4 Ba 2.67-2.74
Pd 0.1717 0.2500 0.6436  6 Ba 3.16-3.21
Pd 0.8283 0.7500 0.3564  6 Ba 3.16-3.21

Calculated values
- Symmetry: No. 11
- N(E_F): 0.475 states/eV per atom
- Electronic total energy: -2.906 eV/atom